VASP calculation (PBE-GGA) on crystalline CaSmHg3 at its relaxed geometry.

Cell lengths 3.6042, 4.9935, 14.7926 Å; angles 90.00, 97.00, 90.00 degrees
Closest atoms and distances in Å follow each position.
Fractional positions:
Ca  0.2098  0.7500  0.4195  7 Hg 3.17-3.28
Ca  0.7902  0.2500  0.5805  7 Hg 3.17-3.28
Sm  0.9247  0.7500  0.8494  12 Hg 3.36-3.52, 2 Sm 3.60
Sm  0.0753  0.2500  0.1506  12 Hg 3.36-3.52, 2 Sm 3.60
Hg  0.6211  0.7500  0.2423  3 Hg 2.86-3.01, 2 Ca 3.17
Hg  0.3789  0.2500  0.7577  3 Hg 2.86-3.01, 2 Ca 3.17
Hg  0.5236  0.7500  0.0472  3 Hg 2.86
Hg  0.4764  0.2500  0.9528  3 Hg 2.86
Hg  0.6784  0.2500  0.3568  2 Hg 3.01, 5 Ca 3.21-3.28
Hg  0.3216  0.7500  0.6432  2 Hg 3.01, 5 Ca 3.21-3.28

Values from the calculation:
Excess energy over the best structure of this formula in the dataset (meV per atom): 0
Space-group type: Cmcm (63)
Total magnetic moment (Bohr magnetons per cell): 0.00
DFT formation energy (kJ per mole of atoms): -42.2
Fermi-level density of states (states/eV/cell): 7.79